This record from the Alexandria database describes a relaxed structure of Hg2Bi. The functional is GGA-PBE.

It has space group P-1 (No. 2), with a = 5.069 Å, b = 6.432 Å, c = 6.492 Å, α = 110.79°, β = 111.19° and γ = 94.16°. The asymmetric unit holds Hg at (0.153, 0.410, 0.344), Hg at (0.192, 0.912, 0.341) and Bi at (0.449, 0.251, 0.994).

The energy of formation from the pure elements comes out at 0.0660 eV per atom. For the energy relative to the lowest polymorph listed for this composition, the calculation gives 0.041 eV per atom. The mass density is 11.29 g/cm³. As for the volume: 180 Å³ per cell.


This record from the Alexandria database describes a relaxed structure of Hg2Bi. The functional is GGA-PBE.

It has space group P-1 (No. 2), with a = 5.825 Å, b = 5.830 Å, c = 7.008 Å, α = 113.67°, β = 90.21° and γ = 119.88°. The asymmetric unit holds Hg at (0.000, 0.000, 0.000), Hg at (0.164, 0.328, 0.494), Hg at (0.500, 0.000, 0.500) and Bi at (0.339, 0.679, 0.018).

The energy of formation from the pure elements comes out at 0.0250 eV per atom. For the energy relative to the lowest polymorph listed for this composition, the calculation gives 0.000 eV per atom. The mass density is 11.09 g/cm³. As for the volume: 183 Å³ per cell.


This record from the Alexandria database describes a relaxed structure of HgBi. The functional is GGA-PBE.

It has space group P6_3mc (No. 186), with a = 4.2617 Å, b = 4.2617 Å, c = 9.1416 Å, α = 90.00°, β = 90.00° and γ = 120.00°. The asymmetric unit holds Hg at (0.3333, 0.6667, 0.0000) and Bi at (0.3333, 0.6667, 0.3145).

The energy of formation from the pure elements comes out at 0.2650 eV per atom. The mass density is 9.46 g/cm³. As for the volume: 144 Å³ per cell.


This record from the Alexandria database describes a relaxed structure of HgBi. The functional is GGA-PBE.

It has space group Amm2 (No. 38), with a = 4.576 Å, b = 11.620 Å, c = 6.792 Å, α = 90.00°, β = 90.00° and γ = 90.00°. The asymmetric unit holds Hg at (0.000, 0.000, 0.000), Hg at (0.000, 0.132, 0.392), Bi at (0.500, 0.000, 0.695) and Bi at (0.500, 0.216, 0.059).

The energy of formation from the pure elements comes out at 0.1039 eV per atom. The mass density is 11.30 g/cm³. As for the volume: 361 Å³ per cell.


This record from the Alexandria database describes a relaxed structure of HgBi. The functional is GGA-PBE.

It has space group Pmmn (No. 59, origin choice 2), with a = 4.341 Å, b = 4.488 Å, c = 6.193 Å, α = 90.00°, β = 90.00° and γ = 90.00°. The asymmetric unit holds Hg at (0.250, 0.250, 0.031) and Bi at (0.250, 0.750, 0.408).

The energy of formation from the pure elements comes out at 0.0906 eV per atom. The mass density is 11.27 g/cm³. As for the volume: 121 Å³ per cell.


This record from the Alexandria database describes a relaxed structure of Hg3Bi2. The functional is GGA-PBE.

It has space group R-3m (No. 166, hexagonal axes), with a = 7.7289 Å, b = 7.7289 Å, c = 10.9247 Å, α = 90.00°, β = 90.00° and γ = 120.00°. The asymmetric unit holds Hg at (0.0000, 0.5000, 0.0000) and Bi at (0.0000, 0.0000, 0.1686).

The energy of formation from the pure elements comes out at 0.0846 eV per atom. The mass density is 8.99 g/cm³. As for the volume: 565 Å³ per cell.


This record from the Alexandria database describes a relaxed structure of HgBi. The functional is GGA-PBE.

It has space group P2_1/m (No. 11), with a = 4.781 Å, b = 4.559 Å, c = 6.220 Å, α = 90.00°, β = 107.04° and γ = 90.00°. The asymmetric unit holds Hg at (0.246, 0.250, 0.049) and Bi at (0.231, 0.250, 0.547).

The energy of formation from the pure elements comes out at 0.0394 eV per atom. The mass density is 10.49 g/cm³. As for the volume: 130 Å³ per cell.


This record from the Alexandria database describes a relaxed structure of HgBi. The functional is GGA-PBE.

It has space group I4/m (No. 87), with a = 12.346 Å, b = 12.346 Å, c = 3.291 Å, α = 90.00°, β = 90.00° and γ = 90.00°. The asymmetric unit holds Hg at (0.110, 0.377, 0.000) and Bi at (0.125, 0.129, 0.500).

The energy of formation from the pure elements comes out at 0.0613 eV per atom. The mass density is 10.84 g/cm³. As for the volume: 502 Å³ per cell.


This record from the Alexandria database describes a relaxed structure of HgBi. The functional is GGA-PBE.

It has space group F-43m (No. 216), with a = 6.757 Å, b = 6.757 Å, c = 6.757 Å, α = 90.00°, β = 90.00° and γ = 90.00°. The asymmetric unit holds Hg at (0.000, 0.000, 0.000) and Bi at (0.250, 0.250, 0.750).

The energy of formation from the pure elements comes out at 0.2689 eV per atom. The mass density is 8.82 g/cm³. As for the volume: 309 Å³ per cell.


This record from the Alexandria database describes a relaxed structure of HgBi. The functional is GGA-PBE.

It has space group Pbam (No. 55), with a = 6.473 Å, b = 10.628 Å, c = 3.538 Å, α = 90.00°, β = 90.00° and γ = 90.00°. The asymmetric unit holds Hg at (0.250, 0.000, 0.000) and Bi at (0.179, 0.250, 0.500).

The energy of formation from the pure elements comes out at 0.0726 eV per atom. The mass density is 11.18 g/cm³. As for the volume: 243 Å³ per cell.


This record from the Alexandria database describes a relaxed structure of Hg11Bi. The functional is GGA-PBE.

It has space group P6/mmm (No. 191), with a = 11.1083 Å, b = 11.1083 Å, c = 3.1455 Å, α = 90.00°, β = 90.00° and γ = 120.00°. The asymmetric unit holds Hg at (0.0000, 0.5000, 0.0000), Hg at (0.1671, 0.3342, 0.5000), Hg at (0.3333, 0.6667, 0.0000) and Bi at (0.0000, 0.0000, 0.0000).

The energy of formation from the pure elements comes out at 0.0678 eV per atom. The mass density is 11.93 g/cm³. As for the volume: 336 Å³ per cell.


This record from the Alexandria database describes a relaxed structure of Hg2Bi. The functional is GGA-PBE.

It has space group P-1 (No. 2), with a = 3.174 Å, b = 5.666 Å, c = 5.669 Å, α = 119.04°, β = 95.08° and γ = 95.10°. The asymmetric unit holds Hg at (0.002, 0.165, 0.335) and Bi at (0.000, 0.500, 0.000).

The energy of formation from the pure elements comes out at 0.0758 eV per atom. For the energy relative to the lowest polymorph listed for this composition, the calculation gives 0.051 eV per atom. The mass density is 11.54 g/cm³. As for the volume: 88 Å³ per cell.


This record from the Alexandria database describes a relaxed structure of Ho2HgBi. The functional is GGA-PBE.

It has space group R-3m (No. 166, hexagonal axes), with a = 4.2957 Å, b = 4.2957 Å, c = 22.5102 Å, α = 90.00°, β = 90.00° and γ = 120.00°. The asymmetric unit holds Ho at (0.0000, 0.0000, 0.2499), Hg at (0.0000, 0.0000, 0.0000) and Bi at (0.0000, 0.0000, 0.5000).

The energy of formation from the pure elements comes out at -0.5036 eV per atom. For the energy relative to the lowest polymorph listed for this composition, the calculation gives 0.088 eV per atom. The mass density is 10.24 g/cm³. As for the volume: 360 Å³ per cell.


This record from the Alexandria database describes a relaxed structure of Ho2Hg5Bi. The functional is GGA-PBE.

It has space group Pbam (No. 55), with a = 6.735 Å, b = 13.464 Å, c = 4.417 Å, α = 90.00°, β = 90.00° and γ = 90.00°. The asymmetric unit holds Ho at (0.231, 0.120, 0.000), Hg at (0.000, 0.500, 0.500), Hg at (0.038, 0.745, 0.500), Hg at (0.217, 0.364, 0.000) and Bi at (0.000, 0.000, 0.500).

The energy of formation from the pure elements comes out at -0.3535 eV per atom. The mass density is 12.78 g/cm³. As for the volume: 401 Å³ per cell.


This record from the Alexandria database describes a relaxed structure of Ho2HgBi. The functional is GGA-PBE.

It has space group Cmcm (No. 63), with a = 4.170 Å, b = 24.027 Å, c = 4.626 Å, α = 90.00°, β = 90.00° and γ = 90.00°. The asymmetric unit holds Ho at (0.000, 0.062, 0.250), Ho at (0.000, 0.323, 0.250), Hg at (0.000, 0.456, 0.250) and Bi at (0.000, 0.191, 0.250).

The energy of formation from the pure elements comes out at -0.5918 eV per atom. For the energy relative to the lowest polymorph listed for this composition, the calculation gives 0.000 eV per atom. The mass density is 10.60 g/cm³. As for the volume: 463 Å³ per cell.


This record from the Alexandria database describes a relaxed structure of Ho2HgBi. The functional is GGA-PBE.

It has space group P4/mmm (No. 123), with a = 3.963 Å, b = 3.963 Å, c = 6.900 Å, α = 90.00°, β = 90.00° and γ = 90.00°. The asymmetric unit holds Ho at (0.000, 0.000, 0.249), Hg at (0.500, 0.500, 0.000) and Bi at (0.500, 0.500, 0.500).

The energy of formation from the pure elements comes out at -0.5306 eV per atom. For the energy relative to the lowest polymorph listed for this composition, the calculation gives 0.061 eV per atom. The mass density is 11.33 g/cm³. As for the volume: 108 Å³ per cell.


This record from the Alexandria database describes a relaxed structure of Ho5Hg3Bi12. The functional is GGA-PBE.

It has space group Ia-3d (No. 230), with a = 18.332 Å, b = 18.332 Å, c = 18.332 Å, α = 90.00°, β = 90.00° and γ = 90.00°. The asymmetric unit holds Ho at (0.000, 0.000, 0.000), Ho at (0.000, 0.250, 0.375), Hg at (0.000, 0.250, 0.125) and Bi at (0.037, 0.092, 0.639).

The energy of formation from the pure elements comes out at 0.0596 eV per atom. The mass density is 8.48 g/cm³. As for the volume: 6161 Å³ per cell.


This record from the Alexandria database describes a relaxed structure of Ho2Hg3Bi3. The functional is GGA-PBE.

It has space group Pmmm (No. 47), with a = 4.585 Å, b = 5.073 Å, c = 9.331 Å, α = 90.00°, β = 90.00° and γ = 90.00°. The asymmetric unit holds Ho at (0.000, 0.000, 0.242), Hg at (0.000, 0.500, 0.000), Hg at (0.500, 0.500, 0.237), Bi at (0.000, 0.500, 0.500), Bi at (0.500, 0.000, 0.000) and Bi at (0.500, 0.000, 0.500).

The energy of formation from the pure elements comes out at -0.3513 eV per atom. The mass density is 11.92 g/cm³. As for the volume: 217 Å³ per cell.


This record from the Alexandria database describes a relaxed structure of Ho6Hg5Bi. The functional is GGA-PBE.

It has space group C2/m (No. 12), with a = 16.713 Å, b = 7.422 Å, c = 5.290 Å, α = 90.00°, β = 108.18° and γ = 90.00°. The asymmetric unit holds Ho at (0.000, 0.244, 0.000), Ho at (0.169, 0.248, 0.670), Hg at (0.000, 0.000, 0.500), Hg at (0.167, 0.000, 0.168), Hg at (0.173, 0.500, 0.172) and Bi at (0.000, 0.500, 0.500).

The energy of formation from the pure elements comes out at -0.4895 eV per atom. The mass density is 11.73 g/cm³. As for the volume: 623 Å³ per cell.


This record from the Alexandria database describes a relaxed structure of Ho5HgBi5. The functional is GGA-PBE.

It has space group C2/m (No. 12), with a = 13.452 Å, b = 6.226 Å, c = 9.153 Å, α = 90.00°, β = 109.04° and γ = 90.00°. The asymmetric unit holds Ho at (0.000, 0.000, 0.000), Ho at (0.173, 0.500, 0.346), Ho at (0.179, 0.500, 0.826), Hg at (0.000, 0.500, 0.000), Bi at (0.000, 0.500, 0.500), Bi at (0.145, 0.000, 0.339) and Bi at (0.164, 0.000, 0.826).

The energy of formation from the pure elements comes out at -0.4850 eV per atom. The mass density is 9.49 g/cm³. As for the volume: 725 Å³ per cell.